Entry 1:
LiGdYTc | PBE | relaxed

Properties
The calculation puts the energy of formation at -3 kJ/mol of formula units. As for the density of states at the Fermi level: 0.935 states/eV/atom.

Lattice parameters (Å, degrees): 4.961 4.961 4.961 60.00 60.00 60.00
Last column: magnetic moment on the atom in μB.
Atoms (fractional coordinates):
Tc 0.500 0.500 0.500  -0.15
Y 0.750 0.750 0.750  -0.01
Gd 0.250 0.250 0.250  7.08
Li 0.000 0.000 0.000  0.01

---

Entry 2:
LiGdTe | PBE | relaxed

Properties
The calculation puts the relative energy among the computed polymorphs at 0.0000 eV per atom. As for the density of states at the Fermi level: 0.945 states/eV/atom. The calculation puts the uncorrected formation energy at -87.2 kJ per mole of atoms.

Lattice parameters (Å, degrees): 4.071 4.447 4.447 120.00 90.00 90.00
Last column: magnetic moment on the atom in μB.
Atoms (fractional coordinates):
Te 0.167 0.333 0.667  -0.03
Gd 0.667 0.667 0.333  6.93
Li 0.167 0.000 0.000  -0.01

---

Entry 3:
LiGdTe | PBE | relaxed

Properties
The calculation puts the relative energy among the computed polymorphs at 0.2029 eV per atom. As for the density of states at the Fermi level: 1.383 states/eV/atom. The calculation puts the uncorrected formation energy at -67.6 kJ per mole of atoms.

Lattice parameters (Å, degrees): 3.812 3.812 5.871 108.95 108.95 90.00
Last column: magnetic moment on the atom in μB.
Atoms (fractional coordinates):
Te 0.262 0.262 0.524  -0.02
Gd 0.943 0.943 0.886  7.31
Li 0.645 0.645 0.291  0.03

---

Entry 4:
LiGd2Te | PBE | relaxed

Properties
The calculation puts the relative energy among the computed polymorphs at 0.0000 eV per atom. As for the density of states at the Fermi level: 1.204 states/eV/atom. The calculation puts the uncorrected formation energy at -57.9 kJ per mole of atoms.

Lattice parameters (Å, degrees): 3.960 3.960 6.808 90.00 90.00 90.00
Last column: magnetic moment on the atom in μB.
Atoms (fractional coordinates):
Gd 0.000 0.000 0.250  7.28
Gd 0.000 0.000 0.750  7.28
Li 0.500 0.500 0.000  0.00
Te 0.500 0.500 0.500  -0.05

---

Entry 5:
LiGd2Th | PBE | relaxed

Properties
The calculation puts the relative energy among the computed polymorphs at 0.1179 eV per atom. The calculation puts the energy of formation at 65 kJ/mol of formula units. As for the density of states at the Fermi level: 1.613 states/eV/atom.

Lattice parameters (Å, degrees): 3.586 5.794 5.794 90.00 90.00 90.00
Last column: magnetic moment on the atom in μB.
Atoms (fractional coordinates):
Li 0.500 0.000 0.000  0.01
Gd 0.000 0.000 0.500  7.14
Gd 0.000 0.500 0.000  7.14
Th 0.500 0.500 0.500  0.05

---

Entry 6:
LiGd2Th | PBE | relaxed

Properties
The calculation puts the relative energy among the computed polymorphs at 0.1053 eV per atom. The calculation puts the energy of formation at 60 kJ/mol of formula units. As for the density of states at the Fermi level: 1.142 states/eV/atom.

Lattice parameters (Å, degrees): 3.520 3.520 12.202 81.71 81.71 60.00
Last column: magnetic moment on the atom in μB.
Atoms (fractional coordinates):
Li 0.000 0.000 0.000  0.00
Gd 0.089 0.089 0.732  7.14
Gd 0.911 0.911 0.268  7.14
Th 0.500 0.500 0.500  -0.10